No. 1
Below is a relaxed structure of Na6Hg10Rh, with properties calculated at the PBE-GGA level.

Values from the calculation:
crystal system = trigonal
formation energy from the elements = -231 kJ/mol of formula units

Cell and atoms, written as CIF:
```
data_Na6Hg10Rh
_cell_length_a 9.0648
_cell_length_b 9.0648
_cell_length_c 6.1248
_cell_angle_alpha 90.00
_cell_angle_beta 90.00
_cell_angle_gamma 120.00
_symmetry_space_group_name_H-M 'P -3 1 m'
_symmetry_Int_Tables_number 162
_symmetry_space_group_name_Hall '-P 3 2'
loop_
_atom_site_label
_atom_site_type_symbol
_atom_site_fract_x
_atom_site_fract_y
_atom_site_fract_z
Na1 Na 0.0000 0.3889 0.2493
Hg1 Hg 0.0000 0.2469 0.7614
Hg2 Hg 0.3333 0.6667 0.0000
Hg3 Hg 0.3333 0.6667 0.5000
Rh1 Rh 0.0000 0.0000 0.5000
```

***

No. 2
Below is a relaxed structure of Na3HgRh, with properties calculated at the PBE-GGA level.

Values from the calculation:
relative energy among the computed polymorphs = 0.00 eV/f.u.
crystal system = cubic
formation energy from the elements = 193 kJ/mol of formula units

Cell and atoms, written as CIF:
```
data_Na3HgRh
_cell_length_a 5.414
_cell_length_b 5.414
_cell_length_c 5.414
_cell_angle_alpha 90.00
_cell_angle_beta 90.00
_cell_angle_gamma 90.00
_symmetry_space_group_name_H-M 'P m -3 m'
_symmetry_Int_Tables_number 221
_symmetry_space_group_name_Hall '-P 4 2 3'
loop_
_atom_site_label
_atom_site_type_symbol
_atom_site_fract_x
_atom_site_fract_y
_atom_site_fract_z
Na1 Na 0.000 0.000 0.500
Hg1 Hg 0.500 0.500 0.500
Rh1 Rh 0.000 0.000 0.000
```

***

No. 3
Below is a relaxed structure of NaHgRh2, with properties calculated at the PBE-GGA level.

Values from the calculation:
crystal system = tetragonal
formation energy from the elements = 228 kJ/mol of formula units

Cell and atoms, written as CIF:
```
data_NaHgRh2
_cell_length_a 7.646
_cell_length_b 7.646
_cell_length_c 5.305
_cell_angle_alpha 90.00
_cell_angle_beta 90.00
_cell_angle_gamma 90.00
_symmetry_space_group_name_H-M 'I -4 2 d'
_symmetry_Int_Tables_number 122
_symmetry_space_group_name_Hall 'I -4 2bw'
loop_
_atom_site_label
_atom_site_type_symbol
_atom_site_fract_x
_atom_site_fract_y
_atom_site_fract_z
Na1 Na 0.000 0.000 0.000
Hg1 Hg 0.000 0.000 0.500
Rh1 Rh 0.231 0.250 0.625
```

***

No. 4
Below is a relaxed structure of Na2HgRhS, with properties calculated at the PBE-GGA level.

Values from the calculation:
crystal system = tetragonal
formation energy without anion corrections = 0.52 eV per atom

Cell and atoms, written as CIF:
```
data_Na2HgRhS
_cell_length_a 5.358
_cell_length_b 5.358
_cell_length_c 5.067
_cell_angle_alpha 90.00
_cell_angle_beta 90.00
_cell_angle_gamma 90.00
_symmetry_space_group_name_H-M 'P 4/m m m'
_symmetry_Int_Tables_number 123
_symmetry_space_group_name_Hall '-P 4 2'
loop_
_atom_site_label
_atom_site_type_symbol
_atom_site_fract_x
_atom_site_fract_y
_atom_site_fract_z
Na1 Na 0.000 0.500 0.000
Hg1 Hg 0.000 0.000 0.000
Rh1 Rh 0.000 0.000 0.500
S1 S 0.500 0.500 0.500
```